Entry 1:
LiYRu2: relaxed, PBE-GGA.

Output
final energy	-25.238	eV/cell
DFT formation energy	423	meV/atom
spin magnetization	0.00	μB/f.u.
excess energy over the best structure of this formula in the dataset	131	kJ/mol of formula units

abc: 8.673 8.673 8.673
angles: 20.35 20.35 20.35
Atoms (fractional coordinates):
1 Li 0.750 0.750 0.750
2 Ru 0.003 0.003 0.003
3 Ru 0.497 0.497 0.497
4 Y 0.250 0.250 0.250

Entry 2:
ZrBeHg: relaxed, PBE-GGA.

Output
final energy	-10.663	eV/cell
DFT formation energy	638	meV/atom
spin magnetization	0.00	μB/f.u.
excess energy over the best structure of this formula in the dataset	243	kJ/mol of formula units

abc: 4.535 4.535 4.535
angles: 60.00 60.00 60.00
Atoms (fractional coordinates):
1 Be 0.000 0.000 0.000
2 Hg 0.500 0.500 0.500
3 Zr 0.750 0.750 0.750

Entry 3:
DyMn4P12: relaxed, PBE-GGA.

Output
final energy	-113.874	eV/cell
DFT formation energy	-451	meV/atom
spin magnetization	4.90	μB/f.u.

abc: 6.859 6.859 6.859
angles: 109.47 109.47 109.47
Last column: magnetic moment on the atom in μB.
Atoms (fractional coordinates):
1 Dy 0.000 0.000 0.000  -0.17
2 Mn 0.000 0.500 0.000  1.32
3 Mn 0.500 0.000 0.000  1.32
4 Mn 0.500 0.500 0.500  1.32
5 Mn 0.000 0.000 0.500  1.32
6 P 0.853 0.352 0.206  -0.03
7 P 0.352 0.499 0.147  -0.03
8 P 0.794 0.147 0.648  -0.03
9 P 0.352 0.206 0.853  -0.03
10 P 0.206 0.853 0.352  -0.03
11 P 0.648 0.501 0.853  -0.03
12 P 0.499 0.147 0.352  -0.03
13 P 0.501 0.853 0.648  -0.03
14 P 0.648 0.794 0.147  -0.03
15 P 0.853 0.648 0.501  -0.03
16 P 0.147 0.352 0.499  -0.03
17 P 0.147 0.648 0.794  -0.03

Entry 4:
BaDyCd: relaxed, PBE-GGA.

Output
final energy	-15.768	eV/cell
DFT formation energy	-148	meV/atom
spin magnetization	0.26	μB/f.u.
excess energy over the best structure of this formula in the dataset	0	kJ/mol of formula units

abc: 3.906 3.906 14.581
angles: 97.70 97.70 90.00
Last column: magnetic moment on the atom in μB.
Atoms (fractional coordinates):
1 Dy 0.288 0.288 0.576  0.19
2 Dy 0.712 0.712 0.424  0.19
3 Cd 0.155 0.155 0.310  0.00
4 Cd 0.845 0.845 0.690  0.00
5 Ba 0.571 0.571 0.142  0.00
6 Ba 0.429 0.429 0.858  0.00

Entry 5:
Dy4Tm6Pu: relaxed, PBE-GGA.

Output
final energy	-115.525	eV/cell
DFT formation energy	164	meV/atom
spin magnetization	6.06	μB/f.u.

abc: 3.486 11.603 17.089
angles: 90.00 90.00 98.64
Last column: magnetic moment on the atom in μB.
Atoms (fractional coordinates):
1 Dy 0.870 0.740 0.552  0.01
2 Dy 0.381 0.761 0.140  -0.08
3 Dy 0.130 0.260 0.448  0.01
4 Dy 0.619 0.239 0.860  -0.08
5 Dy 0.870 0.740 0.948  0.01
6 Dy 0.130 0.260 0.052  0.01
7 Dy 0.619 0.239 0.640  -0.08
8 Dy 0.381 0.761 0.360  -0.08
9 Tm 0.500 0.000 0.000  -0.05
10 Tm 0.500 0.000 0.500  -0.05
11 Tm 0.009 0.018 0.340  0.08
12 Tm 0.991 0.982 0.660  0.08
13 Tm 0.991 0.982 0.840  0.08
14 Tm 0.009 0.018 0.160  0.08
15 Tm 0.759 0.518 0.417  -0.04
16 Tm 0.241 0.482 0.583  -0.04
17 Tm 0.241 0.482 0.917  -0.04
18 Tm 0.759 0.518 0.083  -0.04
19 Tm 0.245 0.490 0.250  0.17
20 Tm 0.755 0.510 0.750  0.17
21 Pu 0.621 0.242 0.250  5.60
22 Pu 0.379 0.758 0.750  5.60

Entry 6:
B2Ir2Pt: relaxed, PBE-GGA.

Output
final energy	-70.967	eV/cell
DFT formation energy	327	meV/atom
spin magnetization	0.00	μB/f.u.
excess energy over the best structure of this formula in the dataset	247	kJ/mol of formula units

abc: 6.694 6.694 2.670
angles: 90.00 90.00 90.00
Atoms (fractional coordinates):
1 B 0.150 0.650 0.500
2 B 0.650 0.850 0.500
3 B 0.850 0.350 0.500
4 B 0.350 0.150 0.500
5 Ir 0.358 0.858 0.000
6 Ir 0.858 0.642 0.000
7 Ir 0.642 0.142 0.000
8 Ir 0.142 0.358 0.000
9 Pt 0.000 0.000 0.000
10 Pt 0.500 0.500 0.000

Entry 7:
Sr3Sn2Ge3: relaxed, PBE-GGA.

Output
final energy	-61.042	eV/cell
DFT formation energy	-452	meV/atom
spin magnetization	0.00	μB/f.u.

abc: 4.937 6.443 15.592
angles: 90.00 90.00 112.53
Atoms (fractional coordinates):
1 Sr 0.945 0.890 0.384
2 Sr 0.055 0.110 0.884
3 Sr 0.945 0.890 0.116
4 Sr 0.055 0.110 0.616
5 Sr 0.664 0.329 0.250
6 Sr 0.336 0.671 0.750
7 Sn 0.764 0.527 0.898
8 Sn 0.236 0.473 0.398
9 Sn 0.764 0.527 0.602
10 Sn 0.236 0.473 0.102
11 Ge 0.607 0.214 0.465
12 Ge 0.393 0.786 0.965
13 Ge 0.607 0.214 0.035
14 Ge 0.393 0.786 0.535
15 Ge 0.386 0.772 0.250
16 Ge 0.614 0.228 0.750

Entry 8:
Ti2MnHOs: relaxed, PBE-GGA.

Output
final energy	-41.708	eV/cell
spin magnetization	0.47	μB/f.u.

abc: 4.289 4.289 3.195
angles: 90.00 90.00 90.00
Last column: magnetic moment on the atom in μB.
Atoms (fractional coordinates):
1 H 0.000 0.000 0.000  0.00
2 Mn 0.000 0.000 0.500  0.79
3 Os 0.500 0.500 0.500  0.05
4 Ti 0.000 0.500 0.000  -0.16
5 Ti 0.500 0.000 0.000  -0.16

Entry 9:
RbYO2: relaxed, PBE-GGA.

Output
final energy	-27.936	eV/cell
formation energy from raw total energies	-1022	kJ/mol of formula units
spin magnetization	0.00	μB/f.u.

abc: 3.505 3.505 6.955
angles: 75.41 75.41 60.00
Atoms (fractional coordinates):
1 Rb 0.497 0.497 0.509
2 Y 0.667 0.667 0.999
3 O 0.060 0.060 0.821
4 O 0.276 0.276 0.171

Entry 10:
U2TeO: relaxed, PBE-GGA.

Output
final energy	-35.760	eV/cell
formation energy from raw total energies	-491	kJ/mol of formula units
spin magnetization	5.32	μB/f.u.

abc: 3.755 3.755 7.172
angles: 74.83 74.83 60.00
Last column: magnetic moment on the atom in μB.
Atoms (fractional coordinates):
1 Te 0.000 0.000 0.000  -0.06
2 U 0.775 0.775 0.676  2.44
3 U 0.225 0.225 0.324  2.44
4 O 0.500 0.500 0.500  -0.07

Entry 11:
MgCd2Pt: relaxed, PBE-GGA.

Output
final energy	-9.875	eV/cell
DFT formation energy	-102	meV/atom
spin magnetization	0.00	μB/f.u.

abc: 9.789 9.789 9.789
angles: 18.01 18.01 18.01
Atoms (fractional coordinates):
1 Cd 0.005 0.005 0.005
2 Cd 0.495 0.495 0.495
3 Mg 0.250 0.250 0.250
4 Pt 0.750 0.750 0.750

Entry 12:
Pm4Nd2DyY2: relaxed, PBE-GGA.

Output
final energy	-45.912	eV/cell
DFT formation energy	17	meV/atom
spin magnetization	0.00	μB/f.u.

abc: 5.139 8.129 8.097
angles: 107.58 90.00 108.43
Atoms (fractional coordinates):
1 Pm 0.778 0.557 0.668
2 Pm 0.222 0.443 0.332
3 Pm 0.556 0.111 0.332
4 Pm 0.444 0.889 0.668
5 Nd 0.889 0.778 0.333
6 Nd 0.111 0.222 0.667
7 Dy 0.000 0.000 0.000
8 Y 0.334 0.668 0.000
9 Y 0.666 0.332 0.000

Entry 13:
Ce2ErTmBi4: relaxed, PBE-GGA.

Output
final energy	-42.774	eV/cell
DFT formation energy	-793	meV/atom
spin magnetization	1.74	μB/f.u.

abc: 4.523 7.822 7.834
angles: 70.50 90.00 90.00
Last column: magnetic moment on the atom in μB.
Atoms (fractional coordinates):
1 Ce 0.000 0.000 0.000  0.83
2 Ce 0.500 0.000 0.500  0.83
3 Er 0.000 0.500 0.500  -0.01
4 Tm 0.500 0.500 0.000  -0.01
5 Bi 0.000 0.740 0.754  -0.03
6 Bi 0.000 0.260 0.246  -0.03
7 Bi 0.500 0.741 0.253  -0.03
8 Bi 0.500 0.259 0.747  -0.03

Entry 14:
Sr6AgPb5: relaxed, PBE-GGA.

Output
final energy	-37.328	eV/cell
DFT formation energy	-487	meV/atom
spin magnetization	0.00	μB/f.u.

abc: 5.855 7.998 9.244
angles: 90.00 71.54 90.00
Atoms (fractional coordinates):
1 Pb 0.665 0.500 0.669
2 Pb 0.338 0.000 0.325
3 Pb 0.000 0.500 0.000
4 Pb 0.662 0.000 0.675
5 Pb 0.335 0.500 0.331
6 Sr 0.835 0.757 0.329
7 Sr 0.835 0.243 0.329
8 Sr 0.500 0.243 0.000
9 Sr 0.500 0.757 0.000
10 Sr 0.165 0.757 0.671
11 Sr 0.165 0.243 0.671
12 Ag 0.000 0.000 0.000

Entry 15:
Ta2MnCr: relaxed, PBE-GGA.

Output
final energy	-42.162	eV/cell
DFT formation energy	84	meV/atom
spin magnetization	0.07	μB/f.u.

abc: 3.130 4.589 4.140
angles: 90.00 90.00 90.00
Last column: magnetic moment on the atom in μB.
Atoms (fractional coordinates):
1 Cr 0.500 0.000 0.500  -0.28
2 Mn 0.000 0.500 0.500  0.39
3 Ta 0.000 0.000 0.000  0.03
4 Ta 0.500 0.500 0.000  -0.05

Entry 16:
Pm9Nd2Ho: relaxed, PBE-GGA.

Output
final energy	-56.677	eV/cell
DFT formation energy	16	meV/atom
spin magnetization	0.00	μB/f.u.
excess energy over the best structure of this formula in the dataset	0	kJ/mol of formula units

abc: 5.150 5.150 15.459
angles: 90.00 90.00 90.00
Atoms (fractional coordinates):
1 Pm 0.500 0.500 0.000
2 Pm 0.500 0.500 0.332
3 Pm 0.500 0.500 0.668
4 Pm 0.500 0.000 0.165
5 Pm 0.500 0.000 0.500
6 Pm 0.500 0.000 0.835
7 Pm 0.000 0.500 0.165
8 Pm 0.000 0.500 0.500
9 Pm 0.000 0.500 0.835
10 Nd 0.000 0.000 0.332
11 Nd 0.000 0.000 0.668
12 Ho 0.000 0.000 0.000

Entry 17:
MgInNi2: relaxed, PBE-GGA.

Output
final energy	-16.037	eV/cell
DFT formation energy	-35	meV/atom
spin magnetization	0.00	μB/f.u.

abc: 3.102 3.053 6.657
angles: 90.00 90.00 90.00
Atoms (fractional coordinates):
1 In 0.000 0.000 0.452
2 Mg 0.500 0.500 0.805
3 Ni 0.000 0.000 0.028
4 Ni 0.500 0.500 0.215

Entry 18:
PrHoTh2Sb4: relaxed, PBE-GGA.

Output
final energy	-48.934	eV/cell
formation energy from raw total energies	-796	kJ/mol of formula units
spin magnetization	0.00	μB/f.u.

abc: 4.494 7.784 7.748
angles: 109.62 90.00 90.00
Atoms (fractional coordinates):
1 Pr 0.000 0.000 0.000
2 Ho 0.500 0.500 0.000
3 Th 0.500 0.000 0.500
4 Th 0.000 0.500 0.500
5 Sb 0.500 0.255 0.249
6 Sb 0.500 0.745 0.751
7 Sb 0.000 0.257 0.755
8 Sb 0.000 0.743 0.245

Entry 19:
Y3ScCd: relaxed, PBE-GGA.

Output
final energy	-23.619	eV/cell
DFT formation energy	604	meV/atom
spin magnetization	0.00	μB/f.u.
excess energy over the best structure of this formula in the dataset	304	kJ/mol of formula units

abc: 5.509 5.509 5.509
angles: 90.00 90.00 90.00
Atoms (fractional coordinates):
1 Y 0.000 0.500 0.000
2 Y 0.000 0.000 0.500
3 Y 0.500 0.000 0.000
4 Sc 0.000 0.000 0.000
5 Cd 0.500 0.500 0.500

Entry 20:
Dy2Si3NiIr4: relaxed, PBE-GGA.

Output
final energy	-76.060	eV/cell
formation energy from raw total energies	-903	kJ/mol of formula units
spin magnetization	0.00	μB/f.u.

abc: 4.089 4.089 10.002
angles: 90.00 90.00 90.00
Atoms (fractional coordinates):
1 Dy 0.500 0.000 0.253
2 Dy 0.000 0.500 0.747
3 Si 0.000 0.000 0.500
4 Si 0.500 0.000 0.870
5 Si 0.000 0.500 0.130
6 Ni 0.500 0.500 0.500
7 Ir 0.500 0.500 0.000
8 Ir 0.000 0.000 0.000
9 Ir 0.500 0.000 0.634
10 Ir 0.000 0.500 0.366